The following is a DFT calculation (meta-GGA SCAN) of a crystal of CaReTe2 relaxed with PBEsol.

Properties
Magnetic moment = 0.000 Bohr magnetons per cell
Final energy = -311.8 eV per cell
E_form (uncorrected) = -15.6 kJ/mol of atoms

Structure (CIF):
```
data_CaReTe2
_symmetry_space_group_name_H-M 'C 1 m 1'
_symmetry_Int_Tables_number 8
_symmetry_space_group_name_Hall 'C -2y'
_cell_length_a 9.027
_cell_length_b 3.484
_cell_length_c 6.802
_cell_angle_alpha 90.00
_cell_angle_beta 110.44
_cell_angle_gamma 90.00
loop_
_atom_site_label
_atom_site_type_symbol
_atom_site_fract_x
_atom_site_fract_y
_atom_site_fract_z
Ca1 Ca 0.000 0.000 0.000
Re1 Re 0.308 0.000 0.593
Te1 Te 0.117 0.500 0.670
Te2 Te 0.290 0.500 0.281
```